Record 1
# Pm2PuSnN5

A relaxed Pm2PuSnN5 crystal (PBE, the Alexandria database).

Structure (POSCAR):
```
Pm2PuSnN5
1.0
3.480 0.000 0.000
-1.740 7.118 0.000
0.000 0.000 10.586
N Pm Sn Pu
10 4 2 2
Cartesian
0.000 3.992 6.800
0.000 7.050 8.210
0.000 5.258 0.050
1.740 6.295 5.963
0.000 0.822 0.670
1.740 0.068 2.917
1.740 2.777 9.282
1.740 3.125 1.507
0.000 4.341 3.989
1.740 1.860 5.343
1.740 5.550 2.053
0.000 1.883 3.078
0.000 1.568 7.346
1.740 5.235 8.371
1.740 0.286 10.249
0.000 6.832 4.956
1.740 4.042 5.381
0.000 3.075 0.088
```

Output
Energy relative to the elements, uncorrected: -0.8363 eV/atom
Volume: 131.11 Å³/f.u.
Uncorrected energy: -8.55 eV/atom


Record 2
# Sr3Pm2PuN6

A relaxed Sr3Pm2PuN6 crystal (PBE, the Alexandria database).

Structure (POSCAR):
```
Sr3Pm2PuN6
1.0
6.255 -0.002 -0.002
-3.127 5.417 -0.002
-1.045 -1.810 6.026
Pu Sr Pm N
1 3 2 6
Cartesian
0.000 0.000 0.000
1.041 1.802 3.010
-2.098 3.615 3.010
4.180 -0.010 3.010
-0.005 3.613 -0.002
3.132 1.801 -0.002
1.878 -0.003 1.255
0.204 3.608 4.766
2.200 3.810 1.223
-0.118 -0.205 4.798
-0.941 1.625 1.255
3.023 1.980 4.766
```

Output
Energy relative to the elements, uncorrected: -1.0594 eV/atom
Volume: 204.05 Å³/f.u.
Uncorrected energy: -7.63 eV/atom


Record 3
# PmPuTaN3

A relaxed PmPuTaN3 crystal (PBE, the Alexandria database).

Structure (POSCAR):
```
PmPuTaN3
1.0
3.259 0.000 0.000
0.000 5.906 -0.441
0.000 -2.985 9.112
N Pm Ta Pu
6 2 2 2
Cartesian
2.444 2.279 1.677
2.444 -0.080 4.518
0.815 3.001 4.152
0.815 -2.062 7.445
0.815 0.642 6.993
2.444 4.983 1.226
0.815 0.741 2.645
2.444 2.180 6.025
2.444 3.753 3.040
0.815 -0.831 5.630
0.815 3.664 0.298
2.444 -0.742 8.372
```

Output
Energy relative to the elements, uncorrected: -1.0947 eV/atom
Volume: 85.55 Å³/f.u.
Uncorrected energy: -10.41 eV/atom


Record 4
# Pm3Pu3TaN8

A relaxed Pm3Pu3TaN8 crystal (PBE, the Alexandria database).

Structure (POSCAR):
```
Pm3Pu3TaN8
1.0
6.880 0.000 0.000
-3.440 5.958 -0.020
0.000 -3.952 5.742
N Pm Pu Ta
8 3 3 1
Cartesian
3.440 0.014 4.197
-1.871 3.080 4.024
3.440 2.166 1.686
5.311 -1.075 1.698
1.569 -1.075 1.698
0.000 1.991 1.525
1.871 3.080 4.024
0.000 -0.161 4.036
-1.720 2.979 -0.010
0.000 0.000 0.000
1.720 2.979 -0.010
3.440 -1.976 2.871
1.720 1.003 2.861
-1.720 1.003 2.861
0.000 -1.976 2.871
```

Output
Energy relative to the elements, uncorrected: -1.2562 eV/atom
Volume: 234.83 Å³/f.u.
Uncorrected energy: -10.30 eV/atom


Record 5
# Pm3Pu2TaN6

A relaxed Pm3Pu2TaN6 crystal (PBE, the Alexandria database).

Structure (POSCAR):
```
Pm3Pu2TaN6
1.0
5.971 0.003 0.003
-2.982 5.173 0.003
-0.994 -1.721 5.680
N Pu Pm Ta
6 2 3 1
Cartesian
0.131 3.451 4.469
-0.929 1.616 1.218
1.864 0.003 1.218
2.055 3.558 1.256
2.924 1.838 4.469
-0.060 -0.103 4.431
2.985 1.727 0.003
0.004 3.448 0.003
3.983 0.003 2.843
0.997 1.727 2.843
-1.988 3.451 2.843
0.000 0.000 0.000
```

Output
Energy relative to the elements, uncorrected: -1.3451 eV/atom
Volume: 175.55 Å³/f.u.
Uncorrected energy: -10.07 eV/atom


Record 6
# Tb2PmPuN4

A relaxed Tb2PmPuN4 crystal (PBE, the Alexandria database).

Structure (POSCAR):
```
Tb2PmPuN4
1.0
3.526 0.000 0.000
0.000 6.085 0.112
0.000 -2.122 5.698
N Pu Tb Pm
4 1 2 1
Cartesian
0.000 -0.134 4.297
0.000 4.097 1.513
1.763 3.027 4.385
1.763 0.936 1.425
0.000 0.000 0.000
1.763 -1.061 2.849
0.000 1.982 2.905
1.763 3.043 0.056
```

Output
Energy relative to the elements, uncorrected: -1.4887 eV/atom
Volume: 123.09 Å³/f.u.
Uncorrected energy: -9.19 eV/atom


Record 7
# PmPu2TcN4

A relaxed PmPu2TcN4 crystal (PBE, the Alexandria database).

Structure (POSCAR):
```
PmPu2TcN4
1.0
3.362 0.000 0.000
-1.681 5.894 0.000
0.000 0.000 11.548
N Pu Pm Tc
8 4 2 2
Cartesian
1.681 0.470 2.887
0.000 5.424 8.661
0.000 0.000 5.774
0.000 3.144 1.389
1.681 2.750 10.158
0.000 3.144 4.384
1.681 2.750 7.163
0.000 0.000 0.000
1.681 1.548 5.213
0.000 4.346 10.987
0.000 4.346 6.334
1.681 1.548 0.561
1.681 4.545 2.887
0.000 1.349 8.661
1.681 4.166 8.661
0.000 1.728 2.887
```

Output
Energy relative to the elements, uncorrected: -0.9656 eV/atom
Volume: 114.43 Å³/f.u.
Uncorrected energy: -10.60 eV/atom


Record 8
# Pm2PuTcN5

A relaxed Pm2PuTcN5 crystal (PBE, the Alexandria database).

Structure (POSCAR):
```
Pm2PuTcN5
1.0
-1.420 -1.030 2.985
6.998 -0.683 1.086
0.401 9.765 3.559
N Pm Pu Tc
10 4 2 2
Cartesian
1.141 4.070 3.954
5.284 3.653 5.782
2.077 0.459 3.154
4.639 -0.867 1.908
0.525 0.289 0.350
3.824 5.697 3.784
1.870 7.666 5.542
6.465 6.474 5.309
-0.460 2.223 2.556
4.213 2.949 3.022
4.285 0.379 4.177
1.644 6.453 3.008
1.889 2.664 1.818
4.135 6.507 6.220
2.615 -0.377 1.114
3.173 3.787 4.824
-0.042 8.791 5.020
6.188 3.334 4.094
```

Output
Energy relative to the elements, uncorrected: -0.9599 eV/atom
Volume: 124.26 Å³/f.u.
Uncorrected energy: -9.38 eV/atom


Record 9
# Pm4Pu2Te3N2

A relaxed Pm4Pu2Te3N2 crystal (PBE, the Alexandria database).

Structure (POSCAR):
```
Pm4Pu2Te3N2
1.0
-2.062 -3.254 -2.760
-0.987 -2.618 3.824
-9.785 9.036 0.726
N Te Pu Pm
2 3 2 4
Cartesian
-8.832 4.764 0.982
-4.002 -1.600 0.808
0.000 0.000 0.000
-8.786 0.981 1.340
-4.048 2.183 0.450
-6.927 3.736 0.770
-5.907 -0.572 1.020
-9.902 3.766 2.959
-2.394 -0.284 2.124
-2.932 -0.602 -1.168
-10.440 3.448 -0.333
```

Output
Energy relative to the elements, uncorrected: -1.0789 eV/atom
Volume: 289.92 Å³/f.u.
Uncorrected energy: -7.78 eV/atom


Record 10
# PmPuTe2N

A relaxed PmPuTe2N crystal (PBE, the Alexandria database).

Structure (POSCAR):
```
PmPuTe2N
1.0
-0.947 -2.165 -3.332
3.619 -1.884 0.196
-6.589 -11.672 9.457
Te Pu N Pm
4 2 2 2
Cartesian
1.282 -1.876 0.855
-2.626 -4.896 1.424
-2.627 -8.801 6.466
-6.535 -11.821 7.034
-1.069 -6.041 4.229
-4.184 -7.656 3.660
-3.294 -5.836 4.729
-1.958 -7.861 3.161
-3.824 -10.922 8.184
-1.429 -2.775 -0.295
```

Output
Energy relative to the elements, uncorrected: -1.2204 eV/atom
Volume: 136.85 Å³/f.u.
Uncorrected energy: -7.96 eV/atom